Record 1
An optimized crystal structure of K4Dy3HoSe8. Source: the Alexandria database, functional PBE-GGA.

Cell: 8.4172 9.0916 8.4175 Å, 117.60 120.00 90.00°
Closest atoms and distances in Å follow each position.
Fractional positions:
K  0.5000  0.0000  0.0000  6 Se 3.33
K  0.5000  0.0000  0.5000  6 Se 3.32
K  0.0000  0.0000  0.0000  6 Se 3.32
K  0.0000  0.0000  0.5000  6 Se 3.32
Dy  0.5000  0.5000  0.0000  6 Se 2.90
Dy  0.5000  0.5000  0.5000  6 Se 2.90
Dy  0.0000  0.5000  0.5000  6 Se 2.90
Ho  0.0000  0.5000  0.0000  6 Se 2.89
Se  0.2346  0.7048  0.9705  1 Ho 2.89, 2 Dy 2.90
Se  0.2346  0.7048  0.4691  1 Ho 2.89, 2 Dy 2.90
Se  0.2649  0.2948  0.5297  3 Dy 2.90
Se  0.7359  0.7048  0.9705  1 Ho 2.89, 2 Dy 2.90
Se  0.2641  0.2952  0.0295  1 Ho 2.89, 2 Dy 2.90
Se  0.7351  0.7052  0.4703  3 Dy 2.90
Se  0.7654  0.2952  0.5309  1 Ho 2.89, 2 Dy 2.90
Se  0.7654  0.2952  0.0295  1 Ho 2.89, 2 Dy 2.90

Computed properties:
Formation energy (no corrections), kJ per mole of atoms: -170
SG: No. 166

Record 2
An optimized crystal structure of K3Dy3HoSe8. Source: the Alexandria database, functional PBE-GGA.

Cell: 8.2955 8.2999 9.2045 Å, 116.83 90.00 119.97°
Closest atoms and distances in Å follow each position.
Fractional positions:
K  0.0000  0.0000  0.0000  6 Se 3.33-3.35
K  0.0000  0.5000  0.0000  6 Se 3.33-3.35
K  0.5000  0.5000  0.0000  6 Se 3.33-3.35
Dy  0.5000  0.0000  0.5000  6 Se 2.87-2.89
Dy  0.5000  0.5000  0.5000  6 Se 2.87-2.89
Dy  0.0000  0.5000  0.5000  6 Se 2.87-2.89
Ho  0.0000  0.0000  0.5000  6 Se 2.87
Se  0.2649  0.5299  0.2948  3 Dy 2.89
Se  0.7351  0.4701  0.7052  3 Dy 2.89
Se  0.7662  0.5325  0.2981  1 Ho 2.87, 2 Dy 2.87
Se  0.2338  0.4675  0.7019  1 Ho 2.87, 2 Dy 2.87
Se  0.7662  0.0318  0.2981  1 Ho 2.87, 2 Dy 2.87-2.88
Se  0.2338  0.9682  0.7019  1 Ho 2.87, 2 Dy 2.87-2.88
Se  0.2656  0.0318  0.2981  1 Ho 2.87, 2 Dy 2.87
Se  0.7344  0.9682  0.7019  1 Ho 2.87, 2 Dy 2.87

Computed properties:
Formation energy (no corrections), kJ per mole of atoms: -162
SG: No. 166

Record 3
An optimized crystal structure of K4DyHo3Te8. Source: the Alexandria database, functional PBE-GGA.

Cell: 8.9685 9.7348 8.9676 Å, 117.44 120.00 90.00°
Closest atoms and distances in Å follow each position.
Fractional positions:
K  0.5000  0.0000  0.0000  6 Te 3.53
K  0.5000  0.0000  0.5000  6 Te 3.54
K  0.0000  0.0000  0.0000  6 Te 3.54
K  0.0000  0.0000  0.5000  6 Te 3.54
Dy  0.0000  0.5000  0.0000  6 Te 3.11
Ho  0.5000  0.5000  0.0000  6 Te 3.10
Ho  0.5000  0.5000  0.5000  6 Te 3.10
Ho  0.0000  0.5000  0.5000  6 Te 3.10
Te  0.2364  0.7079  0.9715  2 Ho 3.10, 1 Dy 3.11
Te  0.2364  0.7079  0.4728  2 Ho 3.10, 1 Dy 3.11
Te  0.2642  0.2925  0.5283  3 Ho 3.10
Te  0.7351  0.7079  0.9715  2 Ho 3.10, 1 Dy 3.11
Te  0.2649  0.2921  0.0285  2 Ho 3.10, 1 Dy 3.11
Te  0.7358  0.7075  0.4717  3 Ho 3.10
Te  0.7636  0.2921  0.5272  2 Ho 3.10, 1 Dy 3.11
Te  0.7636  0.2921  0.0285  2 Ho 3.10, 1 Dy 3.11

Computed properties:
Formation energy (no corrections), kJ per mole of atoms: -134
SG: No. 166

Record 4
An optimized crystal structure of K3DyHo2Te6. Source: the Alexandria database, functional PBE-GGA.

Cell: 7.7686 7.7686 8.6396 Å, 98.62 98.62 120.00°
Closest atoms and distances in Å follow each position.
Fractional positions:
K  0.1666  0.8334  0.5000  6 Te 3.53-3.54
K  0.8334  0.1666  0.5000  6 Te 3.53-3.54
K  0.5000  0.5000  0.5000  6 Te 3.53-3.54
Dy  0.0000  0.0000  0.0000  6 Te 3.11
Ho  0.3333  0.6667  0.0000  6 Te 3.10
Ho  0.6667  0.3333  0.0000  6 Te 3.10
Te  0.9307  0.5965  0.7922  2 Ho 3.10, 1 Dy 3.11
Te  0.7351  0.7351  0.2078  2 Ho 3.10, 1 Dy 3.11
Te  0.0693  0.4035  0.2078  2 Ho 3.10, 1 Dy 3.11
Te  0.5965  0.9307  0.7922  2 Ho 3.10, 1 Dy 3.11
Te  0.2649  0.2649  0.7922  2 Ho 3.10, 1 Dy 3.11
Te  0.4035  0.0693  0.2078  2 Ho 3.10, 1 Dy 3.11

Computed properties:
Formation energy (no corrections), kJ per mole of atoms: -134
SG: No. 12

- Which of these has the lowest formation energy (no corrections)?
  K4Dy3HoSe8

- Number 1 is which compound?
  K4Dy3HoSe8

- formation energy (no corrections) of number 3 (K4DyHo3Te8)?
  -134 kJ per mole of atoms

- Look up the formation energy (no corrections) of the fourth one.
  -134 kJ per mole of atoms